1.
VASP calculation (GGA-PBE) on Cr2AsOs after structural relaxation.

The space group is P4/mmm (No. 123) and the conventional cell measures 3.788, 3.788 and 3.793 Å, with angles of 90.00, 90.00 and 90.00 degrees. The inequivalent atoms are Cr at (0.000, 0.500, 0.000), As at (0.000, 0.000, 0.500) and Os at (0.500, 0.500, 0.500).

The formation enthalpy at 0 K comes out at 290.8 meV/atom. For the density of states at the Fermi level, the calculation gives 1.480 states/eV/atom. The crystal system is tetragonal. The volume comes out at 13.61 A^3/atom.



2.
VASP calculation (GGA-PBE) on CrAs2Os after structural relaxation.

The space group is Immm (No. 71) and the conventional cell measures 2.974, 5.072 and 8.634 Å, with angles of 90.00, 90.00 and 90.00 degrees. The inequivalent atoms are Cr at (0.000, 0.000, 0.000), As at (0.000, 0.500, 0.235) and Os at (0.000, 0.000, 0.500).

The formation enthalpy at 0 K comes out at 519.3 meV/atom. For the density of states at the Fermi level, the calculation gives 0.798 states/eV/atom. The crystal system is orthorhombic. The volume comes out at 16.28 A^3/atom. The value obtained for the distance to the lowest polymorph of the same formula is 440.3 meV/atom.



3.
VASP calculation (GGA-PBE) on Cr2AsOs after structural relaxation.

The space group is Cm (No. 8) and the conventional cell measures 8.685, 2.870 and 4.458 Å, with angles of 90.00, 104.08 and 90.00 degrees. The inequivalent atoms are Cr at (0.000, 0.000, 0.000), Cr at (0.240, 0.000, 0.647), As at (0.497, 0.000, 0.499) and Os at (0.240, 0.500, 0.148).

The formation enthalpy at 0 K comes out at 170.2 meV/atom. For the density of states at the Fermi level, the calculation gives 0.840 states/eV/atom. The crystal system is monoclinic. The volume comes out at 13.47 A^3/atom.



4.
VASP calculation (GGA-PBE) on CrAsOs2 after structural relaxation.

The space group is C2/m (No. 12) and the conventional cell measures 8.877, 2.821 and 4.619 Å, with angles of 90.00, 97.05 and 90.00 degrees. The inequivalent atoms are Cr at (0.000, 0.000, 0.000), As at (0.000, 0.500, 0.500) and Os at (0.229, 0.500, 0.234).

The formation enthalpy at 0 K comes out at 251.0 meV/atom. For the density of states at the Fermi level, the calculation gives 0.703 states/eV/atom. The crystal system is monoclinic. The volume comes out at 14.35 A^3/atom.



5.
VASP calculation (GGA-PBE) on CrAs2Os after structural relaxation.

The space group is R-3m (No. 166, hexagonal axes) and the conventional cell measures 2.9718, 2.9718 and 22.8881 Å, with angles of 90.00, 90.00 and 120.00 degrees. The inequivalent atoms are Cr at (0.0000, 0.0000, 0.0000), As at (0.0000, 0.0000, 0.2525) and Os at (0.0000, 0.0000, 0.5000).

The formation enthalpy at 0 K comes out at 328.6 meV/atom. For the density of states at the Fermi level, the calculation gives 0.826 states/eV/atom. The crystal system is trigonal. The volume comes out at 14.59 A^3/atom. The value obtained for the distance to the lowest polymorph of the same formula is 249.7 meV/atom.



6.
VASP calculation (GGA-PBE) on CrAs4Os after structural relaxation.

The space group is P2_1/c (No. 14) and the conventional cell measures 6.057, 6.354 and 6.368 Å, with angles of 90.00, 119.10 and 90.00 degrees. The inequivalent atoms are Cr at (0.000, 0.000, 0.000), As at (0.053, 0.125, 0.667), As at (0.459, 0.133, 0.339) and Os at (0.500, 0.000, 0.000).

The formation enthalpy at 0 K comes out at 5.5 meV/atom. For the density of states at the Fermi level, the calculation gives 0.188 states/eV/atom. The crystal system is monoclinic. The volume comes out at 17.85 A^3/atom. The value obtained for the distance to the lowest polymorph of the same formula is 0.0 meV/atom.



Q: What is the formation enthalpy at 0 K in the first record?
A: 290.8 meV/atom



Q: Look up the formation enthalpy at 0 K of the sixth one.
A: 5.5 meV/atom